DFT (PBE) results for a geometry-optimized PrTh2Tc structure.

- E_form (eV/atom) = 0.26
- relative energy among the computed polymorphs (kcal/mol of atoms) = 8.10
- density of states at the Fermi level (states/eV per cell) = 5.45

```
PrTh2Tc
1.0
3.8850 0.0000 0.0000
1.9425 3.3646 0.0000
1.9425 1.1215 10.3143
Pr Tc Th
1 1 2
direct
0.0000 0.0000 0.0000
0.5000 0.5000 0.5000
0.1135 0.1135 0.6594
0.8865 0.8865 0.3406
```